[1]
# Ho6C2NO3

A geometry-optimized Ho6C2NO3 structure (PBE, Alexandria via LeMat-Bulk).

Lattice parameters (Å, degrees): 15.1036 3.4781 6.9278 90.00 103.01 90.00
With the nearest neighbours (Å) after each atom.
Space group C2/m (No. 12)
Asymmetric unit:
Ho (0.0026, 0.0000, 0.2450)  1 C 2.38, 2 N 2.42, 3 O 2.48-2.49
Ho (0.1649, 0.5000, 0.0882)  2 C 2.41, 1 N 2.43, 3 O 2.47-2.49
Ho (0.1682, 0.5000, 0.5787)  3 C 2.44-2.46, 3 O 2.48-2.49
C (0.1646, 0.0000, 0.3295)  6 Ho 2.38-2.46
N (0.0000, 0.5000, 0.0000)  6 Ho 2.42-2.43
O (0.0000, 0.5000, 0.5000)  6 Ho 2.48-2.49
O (0.1659, 0.0000, 0.8346)  6 Ho 2.47-2.49

Values from the calculation:
total magnetization	0.0	μB per formula unit
formation energy from raw total energies	-1.992	eV per atom
crystal system	monoclinic
total DFT energy (no corrections)	-7.7520	eV/atom


[2]
# Ho8C3N3O

A geometry-optimized Ho8C3N3O structure (PBE, Alexandria via LeMat-Bulk).

Lattice parameters (Å, degrees): 6.9993 6.9993 17.1811 90.00 90.00 120.00
With the nearest neighbours (Å) after each atom.
Space group R-3m (No. 166, hexagonal axes)
Asymmetric unit:
Ho (0.0000, 0.0000, 0.2481)  3 N 2.46, 3 C 2.50
Ho (0.0051, 0.5026, 0.7493)  1 O 2.44, 2 N 2.47, 2 C 2.48
C (0.0000, 0.5000, 0.0000)  6 Ho 2.48-2.50
N (0.0000, 0.5000, 0.5000)  6 Ho 2.46-2.47
O (0.0000, 0.0000, 0.0000)  6 Ho 2.44

Values from the calculation:
total magnetization	0.1	μB per formula unit
formation energy from raw total energies	-1.173	eV per atom
crystal system	trigonal
total DFT energy (no corrections)	-7.4545	eV/atom


[3]
# Ho6CN3O2

A geometry-optimized Ho6CN3O2 structure (PBE, Alexandria via LeMat-Bulk).

Lattice parameters (Å, degrees): 5.9769 10.3462 5.9845 90.00 109.47 90.00
With the nearest neighbours (Å) after each atom.
Space group C2/m (No. 12)
Asymmetric unit:
Ho (0.2442, 0.0000, 0.2462)  3 N 2.41-2.45, 1 C 2.43, 2 O 2.46
Ho (0.2497, 0.1644, 0.7563)  3 N 2.41-2.45, 1 C 2.44, 2 O 2.47
C (0.0000, 0.0000, 0.5000)  6 Ho 2.43-2.44
N (0.0000, 0.1659, 0.0000)  6 Ho 2.41-2.45
N (0.0000, 0.5000, 0.0000)  6 Ho 2.41-2.45
O (0.0000, 0.3338, 0.5000)  6 Ho 2.46-2.47

Values from the calculation:
total magnetization	0.0	μB per formula unit
formation energy from raw total energies	-2.001	eV per atom
crystal system	monoclinic
total DFT energy (no corrections)	-7.9661	eV/atom


[4]
# Ho6C2NO2

A geometry-optimized Ho6C2NO2 structure (PBE, Alexandria via LeMat-Bulk).

Lattice parameters (Å, degrees): 6.0829 10.4978 6.0419 90.00 109.78 90.00
With the nearest neighbours (Å) after each atom.
Space group C2/m (No. 12)
Asymmetric unit:
Ho (0.2418, 0.0000, 0.2674)  1 N 2.35, 2 C 2.46, 2 O 2.50
Ho (0.2429, 0.1715, 0.7416)  2 C 2.39-2.47, 2 O 2.47-2.49, 1 N 2.47
C (0.0000, 0.3324, 0.5000)  6 Ho 2.39-2.47
N (0.0000, 0.0000, 0.5000)  6 Ho 2.35-2.47
O (0.0000, 0.1677, 0.0000)  6 Ho 2.47-2.50

Values from the calculation:
total magnetization	0.0	μB per formula unit
formation energy from raw total energies	-1.608	eV per atom
crystal system	monoclinic
total DFT energy (no corrections)	-7.4405	eV/atom


[5]
# HoPaCN

A geometry-optimized HoPaCN structure (PBE, Alexandria via LeMat-Bulk).

Lattice parameters (Å, degrees): 3.5457 3.5457 4.9583 90.00 90.00 90.00
With the nearest neighbours (Å) after each atom.
Space group P4/mmm (No. 123)
Asymmetric unit:
Ho (0.0000, 0.0000, 0.0000)  2 C 2.48, 4 N 2.51
Pa (0.5000, 0.5000, 0.5000)  2 N 2.48, 4 C 2.51
C (0.0000, 0.0000, 0.5000)  2 Ho 2.48, 4 Pa 2.51
N (0.5000, 0.5000, 0.0000)  2 Pa 2.48, 4 Ho 2.51

Values from the calculation:
total magnetization	0.0	μB per formula unit
formation energy from raw total energies	-1.071	eV per atom
crystal system	tetragonal
total DFT energy (no corrections)	-8.9763	eV/atom


[6]
# RbHo2C2N6

A geometry-optimized RbHo2C2N6 structure (PBE, Alexandria via LeMat-Bulk).

Lattice parameters (Å, degrees): 10.3524 6.0564 6.0979 90.00 114.93 90.00
With the nearest neighbours (Å) after each atom.
Space group C2/m (No. 12)
Asymmetric unit:
Rb (0.0000, 0.0000, 0.0000)  8 N 3.08-3.32, 2 C 3.20
Ho (0.1725, 0.5000, 0.2982)  6 N 2.26-2.49
C (0.1591, 0.5000, 0.7458)  3 N 1.34
N (0.0746, 0.5000, 0.8622)  1 C 1.34
N (0.2032, 0.3124, 0.6813)  1 C 1.34

Values from the calculation:
total magnetization	0.7	μB per formula unit
formation energy from raw total energies	-0.410	eV per atom
crystal system	monoclinic
total DFT energy (no corrections)	-7.5483	eV/atom


[7]
# Ho8C3S3N

A geometry-optimized Ho8C3S3N structure (PBE, Alexandria via LeMat-Bulk).

Lattice parameters (Å, degrees): 7.3082 7.3082 18.7570 90.00 90.00 120.00
With the nearest neighbours (Å) after each atom.
Space group R-3m (No. 166, hexagonal axes)
Asymmetric unit:
Ho (0.0000, 0.0000, 0.2382)  3 C 2.50, 3 S 2.76
Ho (0.0023, 0.5011, 0.7628)  2 C 2.48, 1 N 2.50, 2 S 2.78
C (0.0000, 0.5000, 0.5000)  6 Ho 2.48-2.50
S (0.0000, 0.5000, 0.0000)  6 Ho 2.76-2.78
N (0.0000, 0.0000, 0.5000)  6 Ho 2.50

Values from the calculation:
total magnetization	0.0	μB per formula unit
formation energy from raw total energies	-1.262	eV per atom
crystal system	trigonal
total DFT energy (no corrections)	-6.9289	eV/atom


[8]
# Ho6C2S3N

A geometry-optimized Ho6C2S3N structure (PBE, Alexandria via LeMat-Bulk).

Lattice parameters (Å, degrees): 16.4072 3.6671 7.5664 90.00 105.88 90.00
With the nearest neighbours (Å) after each atom.
Space group C2/m (No. 12)
Asymmetric unit:
Ho (0.0093, 0.0000, 0.2289)  1 C 2.45, 2 N 2.50
Ho (0.1584, 0.5000, 0.1045)  2 C 2.48, 1 N 2.50, 2 S 2.78
Ho (0.1747, 0.5000, 0.5621)  3 C 2.52-2.54, 3 S 2.77-2.79
C (0.1644, 0.0000, 0.3290)  6 Ho 2.45-2.54
S (0.0000, 0.5000, 0.5000)  6 Ho 2.77-2.79
S (0.1660, 0.0000, 0.8336)  6 Ho 2.78-2.79
N (0.0000, 0.5000, 0.0000)  6 Ho 2.50

Values from the calculation:
total magnetization	0.0	μB per formula unit
formation energy from raw total energies	-1.516	eV per atom
crystal system	monoclinic
total DFT energy (no corrections)	-7.0674	eV/atom


[9]
# Ho6CSe3N2

A geometry-optimized Ho6CSe3N2 structure (PBE, Alexandria via LeMat-Bulk).

Lattice parameters (Å, degrees): 6.3742 11.0424 6.8271 90.00 108.09 90.00
With the nearest neighbours (Å) after each atom.
Space group C2/m (No. 12)
Asymmetric unit:
Ho (0.2330, 0.0000, 0.2005)  2 N 2.49, 1 C 2.49
Ho (0.2337, 0.3333, 0.2009)  2 N 2.49, 1 C 2.49
C (0.0000, 0.5000, 0.0000)  6 Ho 2.49
Se (0.0000, 0.0000, 0.5000)  6 Ho 2.88
Se (0.0000, 0.3337, 0.5000)  6 Ho 2.88
N (0.0000, 0.1666, 0.0000)  6 Ho 2.49

Values from the calculation:
total magnetization	0.0	μB per formula unit
formation energy from raw total energies	-1.555	eV per atom
crystal system	monoclinic
total DFT energy (no corrections)	-6.8712	eV/atom


[10]
# Ho6C2Se3N

A geometry-optimized Ho6C2Se3N structure (PBE, Alexandria via LeMat-Bulk).

Lattice parameters (Å, degrees): 16.8703 3.7164 7.7944 90.00 107.18 90.00
With the nearest neighbours (Å) after each atom.
Space group C2/m (No. 12)
Asymmetric unit:
Ho (0.0116, 0.0000, 0.2235)  1 C 2.46, 2 N 2.51
Ho (0.1565, 0.5000, 0.1098)  2 C 2.50, 1 N 2.52
Ho (0.1768, 0.5000, 0.5564)  3 C 2.53-2.56
C (0.1643, 0.0000, 0.3287)  6 Ho 2.46-2.56
Se (0.0000, 0.5000, 0.5000)  6 Ho 2.88-2.90
Se (0.1659, 0.0000, 0.8333)  6 Ho 2.89-2.90
N (0.0000, 0.5000, 0.0000)  6 Ho 2.51-2.52

Values from the calculation:
total magnetization	0.0	μB per formula unit
formation energy from raw total energies	-1.375	eV per atom
crystal system	monoclinic
total DFT energy (no corrections)	-6.7660	eV/atom